Entry 1:
# Sc2CuRu (PBE, relaxed)
data_Sc2CuRu
_cell_length_a 3.241
_cell_length_b 3.241
_cell_length_c 6.471
_cell_angle_alpha 90.00
_cell_angle_beta 90.00
_cell_angle_gamma 90.00
_space_group_name_H-M_alt 'P 1'
_space_group_IT_number 1
loop_
_space_group_symop_operation_xyz
'x,y,z'
loop_
_atom_site_label
_atom_site_type_symbol
_atom_site_fract_x
_atom_site_fract_y
_atom_site_fract_z
_atom_site_occupancy
Sc1 Sc 0.000 0.000 0.241 1
Sc2 Sc 0.000 0.000 0.759 1
Cu1 Cu 0.500 0.500 0.500 1
Ru1 Ru 0.500 0.500 0.000 1
# E_form = -0.479 eV per atom
# SG = No. 123
# Total moment = 0.00 μB per cell



Entry 2:
# Sc2CuRu (PBE, relaxed)
data_Sc2CuRu
_cell_length_a 4.536
_cell_length_b 4.536
_cell_length_c 4.536
_cell_angle_alpha 60.00
_cell_angle_beta 60.00
_cell_angle_gamma 60.00
_space_group_name_H-M_alt 'P 1'
_space_group_IT_number 1
loop_
_space_group_symop_operation_xyz
'x,y,z'
loop_
_atom_site_label
_atom_site_type_symbol
_atom_site_fract_x
_atom_site_fract_y
_atom_site_fract_z
_atom_site_occupancy
Sc1 Sc 0.000 0.000 0.000 1
Sc2 Sc 0.250 0.250 0.250 1
Cu1 Cu 0.750 0.750 0.750 1
Ru1 Ru 0.500 0.500 0.500 1
# E_form = -0.106 eV per atom
# SG = No. 216
# Total moment = 0.00 μB per cell



Entry 3:
# ScCuRu2 (PBE, relaxed)
data_ScCuRu2
_cell_length_a 3.155
_cell_length_b 3.155
_cell_length_c 6.082
_cell_angle_alpha 90.00
_cell_angle_beta 90.00
_cell_angle_gamma 90.00
_space_group_name_H-M_alt 'P 1'
_space_group_IT_number 1
loop_
_space_group_symop_operation_xyz
'x,y,z'
loop_
_atom_site_label
_atom_site_type_symbol
_atom_site_fract_x
_atom_site_fract_y
_atom_site_fract_z
_atom_site_occupancy
Sc1 Sc 0.000 0.000 0.000 1
Cu1 Cu 0.500 0.500 0.262 1
Ru1 Ru 0.000 0.000 0.484 1
Ru2 Ru 0.500 0.500 0.721 1
# E_form = -0.034 eV per atom
# SG = No. 99
# Total moment = 0.00 μB per cell



- Which value of E_form does entry 2 give?
  -0.106 eV per atom



- E_form of number 2 (Sc2CuRu)?
  -0.106 eV per atom



Repeat the second record exactly.
# Sc2CuRu (PBE, relaxed)
data_Sc2CuRu
_cell_length_a 4.536
_cell_length_b 4.536
_cell_length_c 4.536
_cell_angle_alpha 60.00
_cell_angle_beta 60.00
_cell_angle_gamma 60.00
_space_group_name_H-M_alt 'P 1'
_space_group_IT_number 1
loop_
_space_group_symop_operation_xyz
'x,y,z'
loop_
_atom_site_label
_atom_site_type_symbol
_atom_site_fract_x
_atom_site_fract_y
_atom_site_fract_z
_atom_site_occupancy
Sc1 Sc 0.000 0.000 0.000 1
Sc2 Sc 0.250 0.250 0.250 1
Cu1 Cu 0.750 0.750 0.750 1
Ru1 Ru 0.500 0.500 0.500 1
# E_form = -0.106 eV per atom
# SG = No. 216
# Total moment = 0.00 μB per cell



What did the second record say?
# Sc2CuRu (PBE, relaxed)
data_Sc2CuRu
_cell_length_a 4.536
_cell_length_b 4.536
_cell_length_c 4.536
_cell_angle_alpha 60.00
_cell_angle_beta 60.00
_cell_angle_gamma 60.00
_space_group_name_H-M_alt 'P 1'
_space_group_IT_number 1
loop_
_space_group_symop_operation_xyz
'x,y,z'
loop_
_atom_site_label
_atom_site_type_symbol
_atom_site_fract_x
_atom_site_fract_y
_atom_site_fract_z
_atom_site_occupancy
Sc1 Sc 0.000 0.000 0.000 1
Sc2 Sc 0.250 0.250 0.250 1
Cu1 Cu 0.750 0.750 0.750 1
Ru1 Ru 0.500 0.500 0.500 1
# E_form = -0.106 eV per atom
# SG = No. 216
# Total moment = 0.00 μB per cell